(1)
Tb2Ga3Co, optimized geometry, DFT GGA-PBE; SG = Pmm2, No. 25; formation energy = -53 kJ per mole of atoms
1.0
3.6713 0.0000 0.0000
0.0000 4.2937 0.0000
0.0000 0.0000 7.5512
Tb Ga Co
2 3 1
Direct
0.0000 0.0000 0.0000
0.0000 0.5000 0.4591
0.5000 0.0000 0.6283
0.5000 0.5000 0.1502
0.5000 0.5000 0.8100
0.5000 0.0000 0.3020

=====

(2)
Tb5GaCo2, optimized geometry, DFT GGA-PBE; SG = I4/mcm, No. 140; formation energy = -26 kJ per mole of atoms
1.0
-3.7803 3.7803 6.5736
3.7803 -3.7803 6.5736
3.7803 3.7803 -6.5736
Tb Ga Co
10 2 4
Direct
0.0000 0.0000 0.0000
0.0279 0.5279 0.8286
0.1993 0.0279 0.5000
0.3007 0.8007 0.8286
0.4721 0.3007 0.5000
0.5000 0.5000 0.0000
0.5279 0.6993 0.5000
0.6993 0.1993 0.1714
0.8007 0.9721 0.5000
0.9721 0.4721 0.1714
0.2500 0.2500 0.0000
0.7500 0.7500 0.0000
0.1286 0.3714 0.5000
0.3714 0.8714 0.2427
0.6286 0.1286 0.7573
0.8714 0.6286 0.5000

=====

(3)
TbGa2Co, optimized geometry, DFT GGA-PBE; SG = R-3m, No. 166; formation energy = -45 kJ per mole of atoms
1.0
2.0364 1.1757 5.0720
-2.0364 1.1757 5.0720
0.0000 -2.3515 5.0720
Tb Ga Co
1 2 1
Direct
0.0000 0.0000 0.0000
0.2117 0.2117 0.2117
0.7883 0.7883 0.7883
0.5000 0.5000 0.5000

=====

(4)
TbGa2Co, optimized geometry, DFT GGA-PBE; SG = P4/mmm, No. 123; formation energy = -32 kJ per mole of atoms
1.0
3.1329 0.0000 0.0000
0.0000 3.1329 0.0000
0.0000 0.0000 6.9397
Tb Ga Co
1 2 1
Direct
0.0000 0.0000 0.0000
0.5000 0.5000 0.3098
0.5000 0.5000 0.6902
0.0000 0.0000 0.5000